Compound: Nd3AlSb2Pd9
Source: Alexandria
Functional: PBE-GGA
Structure: optimized geometry

Results
Its space group is No. 164. For the formation energy without anion corrections, the calculation gives -0.510 eV per atom. The total energy is -5.378 eV/atom. For the volume, the calculation gives 355 Å³ per cell.

The structure in extended XYZ format:
```
15
Lattice="-1.446 -3.612 -5.629 4.918 -2.123 4.258 -5.893 -4.641 4.492" Properties=species:S:1:pos:R:3 pbc="T T T"
Nd -1.474 -5.983 4.218
Nd -0.947 -4.394 -1.097
Nd 0.000 0.000 0.000
Pd -0.562 -2.353 1.654
Pd -3.956 -4.560 2.295
Pd -0.723 -1.806 -2.815
Pd 2.408 -3.635 4.226
Pd -4.829 -6.742 -1.104
Pd 1.736 -2.868 -0.685
Pd 2.459 -1.062 2.129
Pd -1.859 -8.024 1.467
Pd 1.534 -5.816 0.826
Sb -4.016 -6.810 1.242
Sb 1.594 -3.566 1.879
Al -2.947 -2.321 2.246
```

Compound: K2TiCdPt
Source: Alexandria
Functional: PBE-GGA
Structure: optimized geometry

Results
Its space group is No. 123. The formation energy from the elements is 912 meV per atom. The total energy is -2.497 eV/atom. For the volume, the calculation gives 201 Å³ per cell.

The structure in extended XYZ format:
```
5
Lattice="6.274 0.000 0.000 0.000 5.095 0.000 0.000 0.000 6.274" Properties=species:S:1:pos:R:3 pbc="T T T"
Ti 3.137 2.547 3.137
K 3.137 0.000 0.000
K 0.000 0.000 3.137
Pt 0.000 2.547 0.000
Cd 0.000 0.000 0.000
```

Compound: PmY8Tl2
Source: Alexandria
Functional: PBE-GGA
Structure: optimized geometry

Results
Its space group is No. 12. The formation energy from the elements is -25 meV per atom. The total energy is -5.588 eV/atom. For the volume, the calculation gives 352 Å³ per cell.

The structure in extended XYZ format:
```
11
Lattice="-4.587 0.772 -3.272 6.415 -0.132 -5.976 -2.047 -7.441 4.162" Properties=species:S:1:pos:R:3 pbc="T T T"
Tl 0.544 -5.203 1.058
Tl 3.824 -2.369 -2.872
Y 1.346 -0.644 -1.922
Y -0.598 -2.323 0.407
Y 2.251 -1.361 -5.371
Y -1.462 -2.518 -3.035
Y 0.379 -4.477 -5.493
Y -2.470 -5.439 0.285
Y -1.565 -6.156 -3.164
Y 1.242 -4.283 -2.051
Pm -2.294 0.386 -1.636
```

Compound: DyMnB
Source: Alexandria
Functional: PBE-GGA
Structure: optimized geometry

Results
Its space group is No. 70. The formation energy from the elements is 242 meV per atom. The total energy is -6.575 eV/atom. For the volume, the calculation gives 169 Å³ per cell.

The structure in extended XYZ format:
```
12
Lattice="-4.242 -0.410 0.684 -2.698 -1.215 -3.844 -0.962 -8.944 2.291" Properties=species:S:1:pos:R:3 pbc="T T T"
B -3.959 -2.542 1.159
B -5.294 -3.256 -0.739
B -4.729 -7.519 0.212
B -1.244 -6.813 1.815
Mn -1.908 -1.810 0.700
Mn -3.296 -7.545 2.275
Mn -3.103 -3.578 -0.963
Mn -2.678 -6.787 -0.248
Dy -5.194 -5.706 -1.584
Dy -4.424 -0.729 -0.637
Dy -2.516 -0.897 -2.523
Dy -4.830 -5.069 1.057
```

Compound: TaAsO
Source: Alexandria
Functional: PBE-GGA
Structure: optimized geometry

Results
Its space group is No. 47. For the formation energy without anion corrections, the calculation gives -1.153 eV per atom. The total energy is -8.306 eV/atom. For the volume, the calculation gives 107 Å³ per cell.

The structure in extended XYZ format:
```
6
Lattice="5.345 -0.116 -0.188 -2.408 4.650 0.379 0.530 2.805 4.524" Properties=species:S:1:pos:R:3 pbc="T T T"
O 3.760 2.409 3.885
O 0.822 1.064 1.717
Ta 4.700 0.275 0.444
Ta 2.292 1.736 2.800
As 1.088 4.061 2.990
As 3.495 2.600 0.634
```

Compound: Ag2WCl
Source: Alexandria
Functional: PBE-GGA
Structure: optimized geometry

Results
Its space group is No. 166. For the formation energy without anion corrections, the calculation gives 0.392 eV per atom. The total energy is -4.734 eV/atom. For the volume, the calculation gives 70 Å³ per cell.

The structure in extended XYZ format:
```
4
Lattice="9.108 -0.022 -0.013 8.621 2.938 -0.013 8.621 1.418 2.573" Properties=species:S:1:pos:R:3 pbc="T T T"
W 19.762 3.250 1.910
Cl 6.587 1.083 0.637
Ag 13.238 2.177 1.280
Ag 26.287 4.323 2.541
```

Compound: Re2POsSe
Source: Alexandria
Functional: PBE-GGA
Structure: optimized geometry

Results
Its space group is No. 123. For the formation energy without anion corrections, the calculation gives 2.074 eV per atom. The total energy is -6.930 eV/atom. For the volume, the calculation gives 94 Å³ per cell.

The structure in extended XYZ format:
```
5
Lattice="4.563 0.000 0.000 0.000 4.516 0.000 0.000 0.000 4.563" Properties=species:S:1:pos:R:3 pbc="T T T"
Re 0.000 0.000 2.282
Re 2.282 0.000 0.000
Se 0.000 0.000 0.000
Os 0.000 2.258 0.000
P 2.282 2.258 2.282
```

Compound: SrMoIN2
Source: Alexandria
Functional: PBE-GGA
Structure: optimized geometry

Results
Its space group is No. 123. For the formation energy without anion corrections, the calculation gives 1.807 eV per atom. The total energy is -4.336 eV/atom. For the volume, the calculation gives 148 Å³ per cell.

The structure in extended XYZ format:
```
5
Lattice="4.796 0.000 0.000 0.000 4.796 0.000 0.000 0.000 6.425" Properties=species:S:1:pos:R:3 pbc="T T T"
Mo 2.398 2.398 3.212
I 0.000 0.000 3.212
N 0.000 2.398 0.000
N 2.398 0.000 0.000
Sr 0.000 0.000 0.000
```

Compound: Nb2SbP2
Source: Alexandria
Functional: PBE-GGA
Structure: optimized geometry

Results
Its space group is No. 127. For the formation energy without anion corrections, the calculation gives -0.461 eV per atom. The total energy is -7.477 eV/atom. For the volume, the calculation gives 176 Å³ per cell.

The structure in extended XYZ format:
```
10
Lattice="7.426 0.000 0.000 0.000 7.426 0.000 0.000 0.000 3.192" Properties=species:S:1:pos:R:3 pbc="T T T"
P 2.723 0.990 1.596
P 0.990 4.703 1.596
P 6.436 2.723 1.596
P 4.703 6.436 1.596
Nb 4.799 1.086 0.000
Nb 1.086 2.627 0.000
Nb 2.627 6.340 0.000
Nb 6.340 4.799 0.000
Sb 3.713 3.713 0.000
Sb 0.000 0.000 0.000
```

Compound: ErBe17Fe
Source: Alexandria
Functional: PBE-GGA
Structure: optimized geometry

Results
Its space group is No. 160. The formation energy from the elements is -57 meV per atom. The total energy is -4.077 eV/atom. For the volume, the calculation gives 175 Å³ per cell.

The structure in extended XYZ format:
```
19
Lattice="5.589 0.013 0.674 0.599 5.556 0.674 0.014 0.013 5.629" Properties=species:S:1:pos:R:3 pbc="T T T"
Be 1.638 0.061 4.154
Be 5.882 2.829 6.616
Be 2.427 4.821 2.730
Be 4.098 1.623 0.717
Be 4.032 3.629 1.804
Be 0.473 3.906 2.114
Be 3.748 0.931 4.216
Be 1.319 3.629 4.216
Be 5.049 1.908 2.730
Be 2.120 1.908 5.334
Be 3.934 0.061 2.114
Be 3.431 5.553 6.616
Be 2.044 3.906 0.717
Be 0.232 1.623 4.154
Be 0.629 0.566 0.708
Be 5.627 5.064 6.329
Be 6.169 5.553 4.182
Er 4.089 3.681 4.600
Fe 1.981 1.783 2.229
```

Compound: TbPrBi6
Source: Alexandria
Functional: PBE-GGA
Structure: optimized geometry

Results
Its space group is No. 38. The formation energy from the elements is -354 meV per atom. The total energy is -4.441 eV/atom. For the volume, the calculation gives 256 Å³ per cell.

The structure in extended XYZ format:
```
8
Lattice="4.629 0.000 -0.795 0.000 4.671 0.000 -0.341 0.000 11.887" Properties=species:S:1:pos:R:3 pbc="T T T"
Bi 4.033 2.336 9.602
Bi 1.744 0.000 10.151
Bi 0.266 0.000 1.546
Bi 2.554 2.336 0.997
Bi 3.044 0.000 3.850
Bi 1.227 2.336 7.144
Tb 0.691 2.336 4.025
Pr 3.595 0.000 7.052
```

Compound: Fe2PdPt9
Source: Alexandria
Functional: PBE-GGA
Structure: optimized geometry

Results
Its space group is No. 123. The formation energy from the elements is -170 meV per atom. The total energy is -6.544 eV/atom. For the volume, the calculation gives 182 Å³ per cell.

The structure in extended XYZ format:
```
12
Lattice="3.930 0.000 0.000 0.000 3.930 0.000 0.000 0.000 11.798" Properties=species:S:1:pos:R:3 pbc="T T T"
Pt 1.965 0.000 5.899
Pt 1.965 1.965 3.975
Pt 0.000 1.965 5.899
Pt 1.965 0.000 2.047
Pt 0.000 1.965 2.047
Pt 0.000 1.965 9.751
Pt 1.965 1.965 7.824
Pt 1.965 1.965 0.000
Pt 1.965 0.000 9.751
Fe 0.000 0.000 7.891
Fe 0.000 0.000 3.907
Pd 0.000 0.000 0.000
```

Compound: CaLa2Bi
Source: Alexandria
Functional: PBE-GGA
Structure: optimized geometry

Results
Its space group is No. 123. The formation energy from the elements is -437 meV per atom. The total energy is -4.372 eV/atom. For the volume, the calculation gives 132 Å³ per cell.

The structure in extended XYZ format:
```
4
Lattice="5.242 0.000 0.000 0.000 5.010 0.000 0.000 0.000 5.010" Properties=species:S:1:pos:R:3 pbc="T T T"
La 0.000 0.000 2.505
La 0.000 2.505 0.000
Ca 2.621 0.000 0.000
Bi 2.621 2.505 2.505
```

Compound: BaEu3Cu
Source: Alexandria
Functional: PBE-GGA
Structure: optimized geometry

Results
Its space group is No. 221. The formation energy from the elements is 12 meV per atom. The total energy is -7.356 eV/atom. For the volume, the calculation gives 212 Å³ per cell.

The structure in extended XYZ format:
```
5
Lattice="5.967 0.000 0.000 0.000 5.967 0.000 0.000 0.000 5.967" Properties=species:S:1:pos:R:3 pbc="T T T"
Ba 2.983 2.983 2.983
Eu 2.983 0.000 0.000
Eu 0.000 0.000 2.983
Eu 0.000 2.983 0.000
Cu 0.000 0.000 0.000
```

Compound: Ce2PaTe6
Source: Alexandria
Functional: PBE-GGA
Structure: optimized geometry

Results
Its space group is No. 136. For the formation energy without anion corrections, the calculation gives -0.959 eV per atom. The total energy is -5.428 eV/atom. For the volume, the calculation gives 731 Å³ per cell.

The structure in extended XYZ format:
```
18
Lattice="-0.541 1.333 -7.149 -3.720 -6.210 -0.877 -11.788 6.757 2.152" Properties=species:S:1:pos:R:3 pbc="T T T"
Pa -8.024 0.940 -2.937
Pa 0.000 0.000 0.000
Te -9.076 2.975 -1.022
Te -3.009 -3.445 -5.669
Te -13.000 0.942 -0.297
Te -3.048 0.937 -5.577
Te -11.066 5.533 -4.114
Te -4.983 -3.653 -1.760
Te -10.743 1.066 -4.164
Te -8.958 -1.276 -1.095
Te -6.973 -1.095 -4.852
Te -1.251 -1.432 -2.357
Te -5.305 0.814 -1.710
Te -7.091 3.155 -4.779
Ce -11.959 3.195 -2.219
Ce -3.935 2.255 0.718
Ce -4.089 -1.316 -3.655
Ce -7.853 4.501 1.433
```

Compound: KBa6Sr3
Source: Alexandria
Functional: PBE-GGA
Structure: optimized geometry

Results
Its space group is No. 162. The formation energy from the elements is 163 meV per atom. The total energy is -1.605 eV/atom. For the volume, the calculation gives 624 Å³ per cell.

The structure in extended XYZ format:
```
10
Lattice="-0.027 5.971 5.408 -5.175 -6.129 0.742 7.425 -5.527 6.140" Properties=species:S:1:pos:R:3 pbc="T T T"
Ba 3.945 -6.962 5.288
Ba 6.022 -2.082 7.169
Ba 1.376 2.527 4.378
Ba -1.696 -4.693 1.594
Ba 2.929 -4.585 8.658
Ba -0.706 -1.100 3.631
Sr 0.253 -4.859 5.367
Sr 3.712 -2.763 3.070
Sr 1.970 -0.825 6.922
K 0.000 0.000 0.000
```

Compound: Tb2Nd7Dy2
Source: Alexandria
Functional: PBE-GGA
Structure: optimized geometry

Results
Its space group is No. 12. The formation energy from the elements is 138 meV per atom. The total energy is -4.574 eV/atom. For the volume, the calculation gives 379 Å³ per cell.

The structure in extended XYZ format:
```
11
Lattice="-1.690 -5.628 1.802 1.944 -4.924 -6.202 6.293 -2.859 4.325" Properties=species:S:1:pos:R:3 pbc="T T T"
Nd 2.130 -7.801 0.650
Nd 0.000 0.000 0.000
Nd 3.492 -2.937 2.547
Nd 4.417 -5.610 -0.725
Nd 5.387 -9.366 3.025
Nd 1.160 -4.045 -3.099
Nd 3.054 -10.474 -2.621
Dy 5.355 -9.315 -0.385
Dy 1.192 -4.095 0.311
Tb 2.032 -7.295 -3.042
Tb 4.515 -6.116 2.968
```

Compound: TaTl2Cr
Source: Alexandria
Functional: PBE-GGA
Structure: optimized geometry

Results
Its space group is No. 123. The formation energy from the elements is 741 meV per atom. The total energy is -5.811 eV/atom. For the volume, the calculation gives 80 Å³ per cell.

The structure in extended XYZ format:
```
4
Lattice="4.248 0.000 0.000 0.000 4.352 0.000 0.000 0.000 4.352" Properties=species:S:1:pos:R:3 pbc="T T T"
Tl 0.000 2.176 2.176
Tl 0.000 0.000 0.000
Cr 2.124 2.176 0.000
Ta 2.124 0.000 2.176
```

Compound: La2ErI
Source: Alexandria
Functional: PBE-GGA
Structure: optimized geometry

Results
Its space group is No. 160. For the formation energy without anion corrections, the calculation gives -0.421 eV per atom. The total energy is -4.413 eV/atom. For the volume, the calculation gives 140 Å³ per cell.

The structure in extended XYZ format:
```
4
Lattice="-1.916 -3.295 0.614 1.590 -2.786 2.148 -4.635 2.265 9.837" Properties=species:S:1:pos:R:3 pbc="T T T"
I -0.220 -4.051 1.848
La -3.548 1.234 7.696
La -1.193 -0.999 3.057
Er -2.479 -1.909 6.298
```

Compound: ZrTa2Tc
Source: Alexandria
Functional: PBE-GGA
Structure: optimized geometry

Results
Its space group is No. 44. The formation energy from the elements is -151 meV per atom. The total energy is -10.805 eV/atom. For the volume, the calculation gives 72 Å³ per cell.

The structure in extended XYZ format:
```
4
Lattice="-3.302 0.414 -4.388 -2.024 -4.685 -2.069 0.307 3.263 4.426" Properties=species:S:1:pos:R:3 pbc="T T T"
Ta -2.748 0.835 -1.498
Ta -5.306 -4.255 -6.433
Zr -2.258 -1.833 -0.518
Tc -2.695 -2.161 -3.268
```

Compound: LiMo2Pb
Source: Alexandria
Functional: PBE-GGA
Structure: optimized geometry

Results
Its space group is No. 65. The formation energy from the elements is 648 meV per atom. The total energy is -6.173 eV/atom. For the volume, the calculation gives 70 Å³ per cell.

The structure in extended XYZ format:
```
4
Lattice="-0.051 4.380 2.974 -3.525 -0.629 -3.900 -1.828 -1.284 1.860" Properties=species:S:1:pos:R:3 pbc="T T T"
Li -2.677 -0.956 -1.020
Mo 0.000 0.000 0.000
Mo -1.788 1.876 -0.463
Pb -0.939 1.548 2.417
```

Compound: K2Fe2W
Source: Alexandria
Functional: PBE-GGA
Structure: optimized geometry

Results
Its space group is No. 139. The formation energy from the elements is 2801 meV per atom. The total energy is -3.614 eV/atom. For the volume, the calculation gives 97 Å³ per cell.

The structure in extended XYZ format:
```
5
Lattice="4.756 0.000 0.000 0.000 4.756 0.000 2.378 2.378 4.310" Properties=species:S:1:pos:R:3 pbc="T T T"
Fe 4.756 2.378 2.155
Fe 2.378 4.756 2.155
K 4.756 4.756 3.101
K 2.378 2.378 1.210
W 0.000 0.000 0.000
```

Compound: ThAg3
Source: Alexandria
Functional: PBE-GGA
Structure: optimized geometry

Results
Its space group is No. 139. The formation energy from the elements is -40 meV per atom. The total energy is -4.034 eV/atom. For the volume, the calculation gives 90 Å³ per cell.

The structure in extended XYZ format:
```
4
Lattice="5.050 0.000 0.000 0.000 5.050 0.000 -2.525 -2.525 3.513" Properties=species:S:1:pos:R:3 pbc="T T T"
Th 0.000 0.000 0.000
Ag 2.525 0.000 1.756
Ag 2.525 2.525 0.000
Ag 0.000 2.525 1.756
```

Compound: TiCrCuS4
Source: Alexandria
Functional: PBE-GGA
Structure: optimized geometry

Results
Its space group is No. 10. For the formation energy without anion corrections, the calculation gives -0.832 eV per atom. The total energy is -6.278 eV/atom. For the volume, the calculation gives 119 Å³ per cell.

The structure in extended XYZ format:
```
7
Lattice="3.457 0.000 0.000 0.000 5.860 -0.011 0.000 0.259 5.853" Properties=species:S:1:pos:R:3 pbc="T T T"
S 0.000 1.958 1.406
S 1.728 1.197 4.444
S 0.000 4.161 4.435
S 1.728 4.922 1.398
Cr 0.000 0.000 0.000
Cu 0.000 0.130 2.926
Ti 1.728 2.930 -0.006
```